# 1
Here is a geometry-optimized CdHgOs2 structure from the Alexandria database. Energies are from GGA-PBEsol.

Formation energy from the elements ... 842.9 meV/atom
Total moment ... 0.001 μB/cell
Calculated total energy ... -5.7060 eV per atom

abc: 2.7907 2.7907 9.6714
angles: 90.00 90.00 118.80
Last column: nearest neighbours and their distance in Å.
Element x y z (fractional)
Cd 0.0000 0.0000 0.0000  4 Os 2.79, 6 Cd 2.79-2.84
Hg 0.0000 0.0000 0.5000  6 Hg 2.79-2.84, 4 Os 2.82
Os 0.5000 0.5000 0.2478  2 Cd 2.79, 6 Os 2.79-2.84, 2 Hg 2.82
Os 0.5000 0.5000 0.7522  2 Cd 2.79, 6 Os 2.79-2.84, 2 Hg 2.82

# 2
Here is a geometry-optimized CdHgOs2 structure from the Alexandria database. Energies are from GGA-PBEsol.

Formation energy from the elements ... 1119.0 meV/atom
Total moment ... 1.754 μB/cell
Calculated total energy ... -5.4299 eV per atom

abc: 3.2105 3.2105 6.3639
angles: 90.00 90.00 90.00
Last column: nearest neighbours and their distance in Å.
Element x y z (fractional)
Cd 0.0000 0.0000 0.0000  8 Os 2.77
Hg 0.0000 0.0000 0.5000  8 Os 2.77
Os 0.5000 0.5000 0.2493  4 Cd 2.77, 4 Hg 2.77
Os 0.5000 0.5000 0.7507  4 Cd 2.77, 4 Hg 2.77

# 3
Here is a geometry-optimized CdHgOs structure from the Alexandria database. Energies are from GGA-PBEsol.

Formation energy from the elements ... 631.3 meV/atom
Total moment ... 0.002 μB/cell
Calculated total energy ... -4.0286 eV per atom

abc: 2.9040 2.9040 7.2074
angles: 90.00 90.00 120.00
Last column: nearest neighbours and their distance in Å.
Element x y z (fractional)
Cd 0.0000 0.0000 0.0000  3 Os 2.82, 6 Cd 2.90, 3 Hg 3.08
Hg 0.3333 0.6667 0.6409  3 Os 2.88, 6 Hg 2.90, 3 Cd 3.08
Os 0.6667 0.3333 0.3154  3 Cd 2.82, 3 Hg 2.88, 6 Os 2.90

# 4
Here is a geometry-optimized CdHgOs structure from the Alexandria database. Energies are from GGA-PBEsol.

Formation energy from the elements ... 712.2 meV/atom
Total moment ... 0.014 μB/cell
Calculated total energy ... -3.9477 eV per atom

abc: 6.7436 6.7436 6.7436
angles: 155.36 155.36 35.13
Last column: nearest neighbours and their distance in Å.
Element x y z (fractional)
Cd 0.0000 0.0000 0.0000  4 Os 2.84, 4 Cd 2.88, 4 Hg 3.14
Hg 0.6860 0.6860 0.0000  4 Hg 2.88, 4 Os 2.89, 4 Cd 3.14
Os 0.3454 0.3454 0.0000  4 Cd 2.84, 4 Os 2.88, 4 Hg 2.89

# 5
Here is a geometry-optimized CdHgOs2 structure from the Alexandria database. Energies are from GGA-PBEsol.

Formation energy from the elements ... 987.0 meV/atom
Total moment ... 0.001 μB/cell
Calculated total energy ... -5.5619 eV per atom

abc: 5.1695 5.1695 5.1695
angles: 135.79 135.79 64.30
Last column: nearest neighbours and their distance in Å.
Element x y z (fractional)
Cd 0.0000 0.0000 0.0000  4 Hg 2.75, 8 Os 2.93
Hg 0.5000 0.5000 0.0000  4 Cd 2.75, 8 Os 2.93
Os 0.2500 0.7500 0.5000  4 Os 2.75, 4 Hg 2.93, 4 Cd 2.93
Os 0.7500 0.2500 0.5000  4 Os 2.75, 4 Hg 2.93, 4 Cd 2.93

# 6
Here is a geometry-optimized ZnCdHg2Os structure from the Alexandria database. Energies are from GGA-PBEsol.

Formation energy from the elements ... 1428.6 meV/atom
Total moment ... 2.639 μB/cell
Calculated total energy ... -1.7971 eV per atom

abc: 4.8026 4.8026 4.8312
angles: 90.00 90.00 90.00
Last column: nearest neighbours and their distance in Å.
Element x y z (fractional)
Zn 0.0000 0.0000 0.0000  4 Hg 2.40, 2 Cd 2.42
Cd 0.0000 0.0000 0.5000  2 Zn 2.42
Hg 0.0000 0.5000 0.0000  2 Zn 2.40
Hg 0.5000 0.0000 0.0000  2 Zn 2.40
Os 0.5000 0.5000 0.5000  4 Cd 3.40, 8 Hg 3.41

# 7
Here is a geometry-optimized Cd2HgP structure from the Alexandria database. Energies are from GGA-PBEsol.

Formation energy from the elements ... 221.8 meV/atom
Total moment ... 0.000 μB/cell
Calculated total energy ... -1.9663 eV per atom

abc: 4.8463 4.8463 4.8463
angles: 118.99 118.99 91.76
Last column: nearest neighbours and their distance in Å.
Element x y z (fractional)
Cd 0.2500 0.7500 0.5000  4 Hg 2.98, 4 P 2.98
Cd 0.7500 0.2500 0.5000  4 Hg 2.98, 4 P 2.98
Hg 0.0000 0.0000 0.0000  8 Cd 2.98
P 0.5000 0.5000 0.0000  8 Cd 2.98

# 8
Here is a geometry-optimized Cd2HgP structure from the Alexandria database. Energies are from GGA-PBEsol.

Formation energy from the elements ... 119.6 meV/atom
Total moment ... 0.000 μB/cell
Calculated total energy ... -2.0685 eV per atom

abc: 3.8997 3.6669 6.4015
angles: 90.00 107.65 90.00
Last column: nearest neighbours and their distance in Å.
Element x y z (fractional)
Cd 0.0000 0.0000 0.0000  1 P 2.58
Cd 0.2951 0.5000 0.5919  4 P 2.68
Hg 0.5939 0.5000 0.1877  6 Cd 2.91-3.14, 2 P 3.00
P 0.7879 0.0000 0.5778  5 Cd 2.58-2.68

# 9
Here is a geometry-optimized CdHgPb2 structure from the Alexandria database. Energies are from GGA-PBEsol.

Formation energy from the elements ... 46.6 meV/atom
Total moment ... 0.000 μB/cell
Calculated total energy ... -2.3937 eV per atom

abc: 3.3449 3.3449 10.4763
angles: 90.00 90.00 115.36
Last column: nearest neighbours and their distance in Å.
Element x y z (fractional)
Cd 0.0000 0.0000 0.0000  2 Hg 2.92, 2 Pb 3.15
Hg 0.5000 0.5000 0.7791  2 Cd 2.92, 2 Pb 3.16
Pb 0.0000 0.0000 0.5300  2 Hg 3.16, 6 Pb 3.34-3.46
Pb 0.5000 0.5000 0.2476  2 Cd 3.15, 6 Pb 3.34-3.46

# 10
Here is a geometry-optimized CdHgPb2 structure from the Alexandria database. Energies are from GGA-PBEsol.

Formation energy from the elements ... 59.2 meV/atom
Total moment ... 0.000 μB/cell
Calculated total energy ... -2.3811 eV per atom

abc: 3.3603 5.3308 5.8972
angles: 90.00 94.87 90.00
Last column: nearest neighbours and their distance in Å.
Element x y z (fractional)
Cd 0.0000 0.0000 0.0000  4 Pb 3.19, 4 Hg 3.27-3.52, 2 Cd 3.36
Hg 0.5000 0.0000 0.5000  4 Pb 3.20, 4 Cd 3.27-3.52, 2 Hg 3.36
Pb 0.2482 0.5000 0.7513  2 Cd 3.19, 2 Hg 3.20, 6 Pb 3.26-3.54
Pb 0.7518 0.5000 0.2487  2 Cd 3.19, 2 Hg 3.20, 6 Pb 3.26-3.54

# 11
Here is a geometry-optimized CdHgPb2 structure from the Alexandria database. Energies are from GGA-PBEsol.

Formation energy from the elements ... 58.1 meV/atom
Total moment ... 0.000 μB/cell
Calculated total energy ... -2.3822 eV per atom

abc: 6.2628 6.2628 6.2628
angles: 146.78 127.76 63.32
Last column: nearest neighbours and their distance in Å.
Element x y z (fractional)
Cd 0.0000 0.0000 0.0000  4 Pb 3.20, 4 Hg 3.29, 2 Cd 3.58
Hg 0.5000 0.5000 0.0000  4 Pb 3.22, 4 Cd 3.29, 2 Hg 3.58
Pb 0.2493 0.7493 0.5000  2 Cd 3.20, 2 Hg 3.22, 6 Pb 3.29-3.58
Pb 0.7507 0.2507 0.5000  2 Cd 3.20, 2 Hg 3.22, 6 Pb 3.29-3.58

# 12
Here is a geometry-optimized Cd2Hg2Pb structure from the Alexandria database. Energies are from GGA-PBEsol.

Formation energy from the elements ... 43.2 meV/atom
Total moment ... 0.000 μB/cell
Calculated total energy ... -1.4621 eV per atom

abc: 7.4009 7.4009 7.4009
angles: 146.68 146.68 47.84
Last column: nearest neighbours and their distance in Å.
Element x y z (fractional)
Cd 0.2500 0.7500 0.5000  4 Hg 2.91, 4 Cd 3.00
Cd 0.7500 0.2500 0.5000  4 Hg 2.91, 4 Cd 3.00
Hg 0.1033 0.1033 0.0000  1 Hg 2.80, 4 Cd 2.91
Hg 0.8967 0.8967 0.0000  1 Hg 2.80, 4 Cd 2.91
Pb 0.5000 0.5000 0.0000  8 Hg 3.31

# 13
Here is a geometry-optimized CdHgPb2 structure from the Alexandria database. Energies are from GGA-PBEsol.

Formation energy from the elements ... 38.4 meV/atom
Total moment ... 0.000 μB/cell
Calculated total energy ... -2.4019 eV per atom

abc: 5.6339 5.6339 5.6339
angles: 129.77 129.77 73.77
Last column: nearest neighbours and their distance in Å.
Element x y z (fractional)
Cd 0.0000 0.0000 0.0000  8 Pb 3.29, 4 Hg 3.38
Hg 0.5000 0.5000 0.0000  8 Pb 3.29, 4 Cd 3.38
Pb 0.2500 0.7500 0.5000  4 Cd 3.29, 4 Hg 3.29, 4 Pb 3.38
Pb 0.7500 0.2500 0.5000  4 Cd 3.29, 4 Hg 3.29, 4 Pb 3.38

# 14
Here is a geometry-optimized CdHgPb2 structure from the Alexandria database. Energies are from GGA-PBEsol.

Formation energy from the elements ... 23.3 meV/atom
Total moment ... 0.000 μB/cell
Calculated total energy ... -2.4170 eV per atom

abc: 3.3635 5.0305 6.3401
angles: 90.00 104.23 90.00
Last column: nearest neighbours and their distance in Å.
Element x y z (fractional)
Cd 0.0000 0.0000 0.0000  2 Hg 3.00, 6 Pb 3.21-3.34
Hg 0.1411 0.5000 0.2646  2 Cd 3.00, 6 Pb 3.20-3.34
Pb 0.3889 0.5000 0.7858  3 Hg 3.20-3.44, 4 Cd 3.28-3.32, 6 Pb 3.36-3.57
Pb 0.7494 0.0000 0.4778  3 Cd 3.21-3.43, 4 Hg 3.28-3.31, 6 Pb 3.36-3.57